Entry 1:
Computed, not measured: a relaxed structure of Tm2BeGe2Rh5 at the PBE-GGA level of DFT. Values from VASP.

- DFT total energy (eV for the cell shown) = -131.7
- crystal system = tetragonal
- SG = P4/mbm, No. 127

Cell and atoms, written as Quantum ESPRESSO input:
```
&SYSTEM
  ibrav = 0, nat = 20, ntyp = 4
/
ATOMIC_SPECIES
Tm 168.93 Tm.upf
Be 9.01 Be.upf
Ge 72.64 Ge.upf
Rh 102.91 Rh.upf
CELL_PARAMETERS angstrom
9.6522 0.0000 0.0000
0.0000 9.6522 0.0000
0.0000 0.0000 3.4529
ATOMIC_POSITIONS crystal
Tm 0.1714 0.3286 0.0000
Tm 0.3286 0.8286 0.0000
Tm 0.6714 0.1714 0.0000
Tm 0.8286 0.6714 0.0000
Be 0.0000 0.0000 0.0000
Be 0.5000 0.5000 0.0000
Ge 0.1298 0.6298 0.0000
Ge 0.3702 0.1298 0.0000
Ge 0.6298 0.8702 0.0000
Ge 0.8702 0.3702 0.0000
Rh 0.0000 0.5000 0.5000
Rh 0.0642 0.8013 0.5000
Rh 0.1987 0.0642 0.5000
Rh 0.3013 0.5642 0.5000
Rh 0.4358 0.3013 0.5000
Rh 0.5000 0.0000 0.5000
Rh 0.5642 0.6987 0.5000
Rh 0.6987 0.4358 0.5000
Rh 0.8013 0.9358 0.5000
Rh 0.9358 0.1987 0.5000
```

***

Entry 2:
Computed, not measured: a relaxed structure of Tm2BeGeRh6 at the PBE-GGA level of DFT. Values from VASP.

- DFT total energy (eV for the cell shown) = -66.4
- crystal system = cubic
- SG = Fm-3m, No. 225

Cell and atoms, written as Quantum ESPRESSO input:
```
&SYSTEM
  ibrav = 0, nat = 10, ntyp = 4
/
ATOMIC_SPECIES
Tm 168.93 Tm.upf
Be 9.01 Be.upf
Ge 72.64 Ge.upf
Rh 102.91 Rh.upf
CELL_PARAMETERS angstrom
0.0000 4.3825 4.3825
4.3825 0.0000 4.3825
4.3825 4.3825 0.0000
ATOMIC_POSITIONS crystal
Tm 0.2500 0.2500 0.2500
Tm 0.7500 0.7500 0.7500
Be 0.0000 0.0000 0.0000
Ge 0.5000 0.5000 0.5000
Rh 0.2374 0.2374 0.7626
Rh 0.2374 0.7626 0.2374
Rh 0.2374 0.7626 0.7626
Rh 0.7626 0.2374 0.2374
Rh 0.7626 0.2374 0.7626
Rh 0.7626 0.7626 0.2374
```

***

Entry 3:
Computed, not measured: a relaxed structure of YBeGe2Rh at the PBE-GGA level of DFT. Values from VASP.

- DFT total energy (eV for the cell shown) = -29.9
- ΔE to the lowest computed polymorph (eV per atom) = 0.0000
- crystal system = tetragonal
- SG = I-4m2, No. 119

Cell and atoms, written as Quantum ESPRESSO input:
```
&SYSTEM
  ibrav = 0, nat = 5, ntyp = 4
/
ATOMIC_SPECIES
Y 88.91 Y.upf
Be 9.01 Be.upf
Ge 72.64 Ge.upf
Rh 102.91 Rh.upf
CELL_PARAMETERS angstrom
-1.9772 1.9772 5.3558
1.9772 -1.9772 5.3558
1.9772 1.9772 -5.3558
ATOMIC_POSITIONS crystal
Y 0.0000 0.0000 0.0000
Be 0.2500 0.7500 0.5000
Ge 0.3828 0.3828 0.0000
Ge 0.6172 0.6172 0.0000
Rh 0.7500 0.2500 0.5000
```

***

Entry 4:
Computed, not measured: a relaxed structure of Y2BeGeRh at the PBE-GGA level of DFT. Values from VASP.

- DFT total energy (eV for the cell shown) = -28.2
- crystal system = tetragonal
- SG = P4/mmm, No. 123

Cell and atoms, written as Quantum ESPRESSO input:
```
&SYSTEM
  ibrav = 0, nat = 5, ntyp = 4
/
ATOMIC_SPECIES
Y 88.91 Y.upf
Be 9.01 Be.upf
Ge 72.64 Ge.upf
Rh 102.91 Rh.upf
CELL_PARAMETERS angstrom
5.3937 0.0000 0.0000
0.0000 5.3937 0.0000
0.0000 0.0000 3.9846
ATOMIC_POSITIONS crystal
Y 0.0000 0.5000 0.0000
Y 0.5000 0.0000 0.0000
Be 0.0000 0.0000 0.5000
Ge 0.0000 0.0000 0.0000
Rh 0.5000 0.5000 0.5000
```

***

Entry 5:
Computed, not measured: a relaxed structure of Y2BeGeRh6 at the PBE-GGA level of DFT. Values from VASP.

- DFT total energy (eV for the cell shown) = -70.3
- crystal system = orthorhombic
- SG = Immm, No. 71

Cell and atoms, written as Quantum ESPRESSO input:
```
&SYSTEM
  ibrav = 0, nat = 10, ntyp = 4
/
ATOMIC_SPECIES
Y 88.91 Y.upf
Be 9.01 Be.upf
Ge 72.64 Ge.upf
Rh 102.91 Rh.upf
CELL_PARAMETERS angstrom
-3.1144 3.1186 4.4060
3.1144 -3.1186 4.4060
3.1144 3.1186 -4.4060
ATOMIC_POSITIONS crystal
Y 0.2504 0.2504 0.0000
Y 0.7496 0.7496 0.0000
Be 0.5000 0.0000 0.5000
Ge 0.0000 0.5000 0.5000
Rh 0.2627 0.2372 0.4999
Rh 0.2627 0.7628 0.0255
Rh 0.2628 0.7628 0.5000
Rh 0.7372 0.2372 0.5000
Rh 0.7373 0.2372 0.9745
Rh 0.7373 0.7628 0.5001
```

***

Entry 6:
Computed, not measured: a relaxed structure of YBeGe2Rh at the PBE-GGA level of DFT. Values from VASP.

- DFT total energy (eV for the cell shown) = -25.9
- ΔE to the lowest computed polymorph (eV per atom) = 0.8141
- crystal system = tetragonal
- SG = P4/mmm, No. 123

Cell and atoms, written as Quantum ESPRESSO input:
```
&SYSTEM
  ibrav = 0, nat = 5, ntyp = 4
/
ATOMIC_SPECIES
Y 88.91 Y.upf
Be 9.01 Be.upf
Ge 72.64 Ge.upf
Rh 102.91 Rh.upf
CELL_PARAMETERS angstrom
4.2851 0.0000 0.0000
0.0000 4.2851 0.0000
0.0000 0.0000 4.9728
ATOMIC_POSITIONS crystal
Y 0.0000 0.0000 0.0000
Be 0.0000 0.0000 0.5000
Ge 0.0000 0.5000 0.5000
Ge 0.5000 0.0000 0.5000
Rh 0.5000 0.5000 0.0000
```

***

Entry 7:
Computed, not measured: a relaxed structure of Zr2Be2GeRh5 at the PBE-GGA level of DFT. Values from VASP.

- DFT total energy (eV for the cell shown) = -148.2
- crystal system = tetragonal
- SG = P4/mbm, No. 127

Cell and atoms, written as Quantum ESPRESSO input:
```
&SYSTEM
  ibrav = 0, nat = 20, ntyp = 4
/
ATOMIC_SPECIES
Zr 91.22 Zr.upf
Be 9.01 Be.upf
Ge 72.64 Ge.upf
Rh 102.91 Rh.upf
CELL_PARAMETERS angstrom
9.2846 0.0000 0.0000
0.0000 9.2846 0.0000
0.0000 0.0000 3.2977
ATOMIC_POSITIONS crystal
Zr 0.1750 0.3250 0.0000
Zr 0.3250 0.8250 0.0000
Zr 0.6750 0.1750 0.0000
Zr 0.8250 0.6750 0.0000
Be 0.1216 0.6216 0.0000
Be 0.3784 0.1216 0.0000
Be 0.6216 0.8784 0.0000
Be 0.8784 0.3784 0.0000
Ge 0.0000 0.0000 0.0000
Ge 0.5000 0.5000 0.0000
Rh 0.0000 0.5000 0.5000
Rh 0.0699 0.7904 0.5000
Rh 0.2096 0.0699 0.5000
Rh 0.2904 0.5699 0.5000
Rh 0.4301 0.2904 0.5000
Rh 0.5000 0.0000 0.5000
Rh 0.5699 0.7096 0.5000
Rh 0.7096 0.4301 0.5000
Rh 0.7904 0.9301 0.5000
Rh 0.9301 0.2096 0.5000
```

***

Entry 8:
Computed, not measured: a relaxed structure of BeGeRu at the PBE-GGA level of DFT. Values from VASP.

- DFT total energy (eV for the cell shown) = -17.5
- ΔE to the lowest computed polymorph (eV per atom) = 0.0000
- crystal system = trigonal
- SG = P3m1, No. 156

Cell and atoms, written as Quantum ESPRESSO input:
```
&SYSTEM
  ibrav = 0, nat = 3, ntyp = 3
/
ATOMIC_SPECIES
Be 9.01 Be.upf
Ge 72.64 Ge.upf
Ru 101.07 Ru.upf
CELL_PARAMETERS angstrom
3.9022 0.0000 0.0000
-1.9511 3.3794 0.0000
0.0000 0.0000 2.8256
ATOMIC_POSITIONS crystal
Be 0.0000 0.0000 0.0000
Ge 0.6667 0.3333 0.0345
Ru 0.3333 0.6667 0.5352
```

***

Entry 9:
Computed, not measured: a relaxed structure of BeGe2Ru at the PBE-GGA level of DFT. Values from VASP.

- DFT total energy (eV for the cell shown) = -40.9
- crystal system = tetragonal
- SG = I-42d, No. 122

Cell and atoms, written as Quantum ESPRESSO input:
```
&SYSTEM
  ibrav = 0, nat = 8, ntyp = 3
/
ATOMIC_SPECIES
Be 9.01 Be.upf
Ge 72.64 Ge.upf
Ru 101.07 Ru.upf
CELL_PARAMETERS angstrom
-3.4243 3.4243 2.5325
3.4243 -3.4243 2.5325
3.4243 3.4243 -2.5325
ATOMIC_POSITIONS crystal
Be 0.0000 0.0000 0.0000
Be 0.7500 0.2500 0.5000
Ge 0.1092 0.6250 0.9842
Ge 0.3750 0.3592 0.4842
Ge 0.6408 0.1250 0.0158
Ge 0.8750 0.8908 0.5158
Ru 0.2500 0.7500 0.5000
Ru 0.5000 0.5000 0.0000
```

***

Entry 10:
Computed, not measured: a relaxed structure of BeGe2Ru2 at the PBE-GGA level of DFT. Values from VASP.

- DFT total energy (eV for the cell shown) = -64.1
- crystal system = tetragonal
- SG = P4/mbm, No. 127

Cell and atoms, written as Quantum ESPRESSO input:
```
&SYSTEM
  ibrav = 0, nat = 10, ntyp = 3
/
ATOMIC_SPECIES
Be 9.01 Be.upf
Ge 72.64 Ge.upf
Ru 101.07 Ru.upf
CELL_PARAMETERS angstrom
6.1724 0.0000 0.0000
0.0000 6.1724 0.0000
0.0000 0.0000 3.7046
ATOMIC_POSITIONS crystal
Be 0.0000 0.0000 0.0000
Be 0.5000 0.5000 0.0000
Ge 0.1548 0.3452 0.5000
Ge 0.3452 0.8452 0.5000
Ge 0.6548 0.1548 0.5000
Ge 0.8452 0.6548 0.5000
Ru 0.1566 0.6566 0.0000
Ru 0.3434 0.1566 0.0000
Ru 0.6566 0.8434 0.0000
Ru 0.8434 0.3434 0.0000
```

***

Entry 11:
Computed, not measured: a relaxed structure of Be4GeRu at the PBE-GGA level of DFT. Values from VASP.

- DFT total energy (eV for the cell shown) = -30.2
- crystal system = cubic
- SG = F-43m, No. 216

Cell and atoms, written as Quantum ESPRESSO input:
```
&SYSTEM
  ibrav = 0, nat = 6, ntyp = 3
/
ATOMIC_SPECIES
Be 9.01 Be.upf
Ge 72.64 Ge.upf
Ru 101.07 Ru.upf
CELL_PARAMETERS angstrom
0.0000 3.0788 3.0788
3.0788 0.0000 3.0788
3.0788 3.0788 0.0000
ATOMIC_POSITIONS crystal
Be 0.1245 0.1245 0.1245
Be 0.1245 0.1245 0.6265
Be 0.1245 0.6265 0.1245
Be 0.6265 0.1245 0.1245
Ge 0.5000 0.5000 0.5000
Ru 0.7500 0.7500 0.7500
```

***

Entry 12:
Computed, not measured: a relaxed structure of Be2GeRu2 at the PBE-GGA level of DFT. Values from VASP.

- DFT total energy (eV for the cell shown) = -64.1
- ΔE to the lowest computed polymorph (eV per atom) = 0.0000
- crystal system = tetragonal
- SG = P4/mbm, No. 127

Cell and atoms, written as Quantum ESPRESSO input:
```
&SYSTEM
  ibrav = 0, nat = 10, ntyp = 3
/
ATOMIC_SPECIES
Be 9.01 Be.upf
Ge 72.64 Ge.upf
Ru 101.07 Ru.upf
CELL_PARAMETERS angstrom
6.1659 0.0000 0.0000
0.0000 6.1659 0.0000
0.0000 0.0000 2.9711
ATOMIC_POSITIONS crystal
Be 0.1200 0.3800 0.0000
Be 0.3800 0.8800 0.0000
Be 0.6200 0.1200 0.0000
Be 0.8800 0.6200 0.0000
Ge 0.0000 0.0000 0.0000
Ge 0.5000 0.5000 0.0000
Ru 0.1746 0.6746 0.5000
Ru 0.3254 0.1746 0.5000
Ru 0.6746 0.8254 0.5000
Ru 0.8254 0.3254 0.5000
```

***

no.,energy of formation (eV per atom),volume (Å³/atom)
1,-0.720,16.08
2,-0.504,16.83
3,-0.630,16.75
4,0.075,23.18
5,-0.496,17.12
6,0.184,18.26
7,-0.818,14.21
8,0.031,12.42
9,0.452,14.85
10,-0.106,14.11
11,-0.234,9.73
12,-0.283,11.30